Entry 1:
Compound: SiBi2O5
Source: Alexandria via LeMat-Bulk
Functional: SCAN
Structure: single point on PBEsol structure

Lattice parameters (Å, degrees): 10.847 3.839 10.762 90.00 90.00 90.00
Positions (direct):
Si  0.213  0.250  0.144
Si  0.287  0.750  0.644
Si  0.713  0.250  0.356
Si  0.787  0.750  0.856
Bi  0.068  0.250  0.790
Bi  0.143  0.250  0.451
Bi  0.357  0.750  0.951
Bi  0.432  0.750  0.290
Bi  0.568  0.250  0.710
Bi  0.643  0.250  0.049
Bi  0.857  0.750  0.549
Bi  0.932  0.750  0.210
O  0.001  0.250  0.601
O  0.070  0.250  0.191
O  0.183  0.750  0.759
O  0.237  0.750  0.137
O  0.244  0.250  0.991
O  0.256  0.750  0.491
O  0.263  0.250  0.637
O  0.317  0.250  0.259
O  0.430  0.750  0.691
O  0.499  0.750  0.101
O  0.501  0.250  0.899
O  0.570  0.250  0.309
O  0.683  0.750  0.741
O  0.737  0.750  0.363
O  0.744  0.250  0.509
O  0.756  0.750  0.009
O  0.763  0.250  0.863
O  0.817  0.250  0.241
O  0.930  0.750  0.809
O  0.999  0.750  0.399

Values from the calculation:
energy = -26.589 eV per atom
raw formation energy = -1.797 eV per atom
energy relative to the lowest polymorph listed for this composition = 101.7 meV per atom
magnetization = 0.0 μB/cell

---

Entry 2:
Compound: CsSiS2Cl
Source: Alexandria via LeMat-Bulk
Functional: SCAN
Structure: single point on PBEsol structure

Lattice parameters (Å, degrees): 5.349 5.349 5.832 90.00 90.00 90.00
Positions (direct):
Cs  0.000  0.000  0.000
Si  0.500  0.500  0.500
S  0.000  0.500  0.000
S  0.500  0.000  0.000
Cl  0.000  0.000  0.500

Values from the calculation:
energy = -13.821 eV per atom
raw formation energy = 1.191 eV per atom
magnetization = 0.2 μB/cell